# 1
First-principles (PBE) data for crystalline TcGeHRh2 at its relaxed geometry, as listed in Alexandria via LeMat-Bulk.

a = 3.8646 Å, b = 3.8646 Å, c = 4.0469 Å
α = 90.00°, β = 90.00°, γ = 90.00°
With the nearest neighbours (Å) after each atom.
Space group P4/mmm (No. 123)
Unique sites:
Tc: 0.0000 0.0000 0.0000 (multiplicity 1)  2 H 2.02
Ge: 0.5000 0.5000 0.0000 (multiplicity 1)  4 Tc 2.73, 8 Rh 2.80
H: 0.0000 0.0000 0.5000 (multiplicity 1)  4 Rh 1.93, 2 Tc 2.02
Rh: 0.0000 0.5000 0.5000 (multiplicity 2)  2 H 1.93

Spin magnetization, Bohr magnetons per cell: 1.1
Electronic total energy, eV per atom: -6.67

# 2
First-principles (PBE) data for crystalline Th4GeH3Rh12 at its relaxed geometry, as listed in Alexandria via LeMat-Bulk.

a = 8.5204 Å, b = 8.5204 Å, c = 8.5204 Å
α = 90.00°, β = 90.00°, γ = 90.00°
With the nearest neighbours (Å) after each atom.
Space group Im-3m (No. 229)
Unique sites:
Th: 0.2500 0.2500 0.2500 (multiplicity 8)  12 Rh 3.01-3.02
Ge: 0.0000 0.0000 0.0000 (multiplicity 2)  6 Rh 2.38
H: 0.0000 0.0000 0.5000 (multiplicity 6)  2 Rh 1.88
Rh: 0.0000 0.0000 0.2795 (multiplicity 12)  1 H 1.88
Rh: 0.0000 0.2500 0.5000 (multiplicity 12)  2 H 2.13

Spin magnetization, Bohr magnetons per cell: 0.0
Electronic total energy, eV per atom: -7.33

# 3
First-principles (PBE) data for crystalline Th2GeHRh6 at its relaxed geometry, as listed in Alexandria via LeMat-Bulk.

a = 6.1542 Å, b = 8.7162 Å, c = 6.1503 Å
α = 90.00°, β = 90.00°, γ = 90.00°
With the nearest neighbours (Å) after each atom.
Space group Pmmn (No. 59, origin choice 2)
Unique sites:
Th: 0.2500 0.0001 0.2502 (multiplicity 4)  12 Rh 3.08-3.09
Ge: 0.2500 0.2500 0.7490 (multiplicity 2)  6 Rh 2.36
H: 0.2500 0.7500 0.7506 (multiplicity 2)  6 Rh 1.99-2.00
Rh: 0.0211 0.7500 0.5213 (multiplicity 4)  1 H 1.99
Rh: 0.0206 0.7500 0.9800 (multiplicity 4)  1 H 2.00
Rh: 0.2500 0.5205 0.7509 (multiplicity 4)  1 H 2.00

Spin magnetization, Bohr magnetons per cell: 0.0
Electronic total energy, eV per atom: -7.43

# 4
First-principles (PBE) data for crystalline Ti2GeHRh at its relaxed geometry, as listed in Alexandria via LeMat-Bulk.

a = 4.0200 Å, b = 4.0200 Å, c = 3.8898 Å
α = 90.00°, β = 90.00°, γ = 90.00°
With the nearest neighbours (Å) after each atom.
Space group P4/mmm (No. 123)
Unique sites:
Ti: 0.0000 0.5000 0.0000 (multiplicity 2)  2 H 2.01
Ge: 0.0000 0.0000 0.5000 (multiplicity 1)  8 Ti 2.80, 4 Rh 2.84
H: 0.5000 0.5000 0.0000 (multiplicity 1)  2 Rh 1.94, 4 Ti 2.01
Rh: 0.5000 0.5000 0.5000 (multiplicity 1)  2 H 1.94

Spin magnetization, Bohr magnetons per cell: 0.0
Electronic total energy, eV per atom: -6.79

# 5
First-principles (PBE) data for crystalline Tm2GeHRh6 at its relaxed geometry, as listed in Alexandria via LeMat-Bulk.

a = 6.0559 Å, b = 6.0559 Å, c = 8.5461 Å
α = 90.00°, β = 90.00°, γ = 90.00°
With the nearest neighbours (Å) after each atom.
Space group I4/mmm (No. 139)
Unique sites:
Tm: 0.0000 0.5000 0.2500 (multiplicity 4)  12 Rh 3.03
Ge: 0.0000 0.0000 0.0000 (multiplicity 2)  6 Rh 2.33
H: 0.0000 0.0000 0.5000 (multiplicity 2)  6 Rh 1.94-1.95
Rh: 0.0000 0.0000 0.2726 (multiplicity 4)  1 H 1.94
Rh: 0.2278 0.2278 0.5000 (multiplicity 8)  1 H 1.95

Spin magnetization, Bohr magnetons per cell: 0.0
Electronic total energy, eV per atom: -6.70

# 6
First-principles (PBE) data for crystalline TmGeHRh2 at its relaxed geometry, as listed in Alexandria via LeMat-Bulk.

a = 3.5120 Å, b = 11.1540 Å, c = 7.4061 Å
α = 90.00°, β = 90.00°, γ = 90.00°
With the nearest neighbours (Å) after each atom.
Space group Cmcm (No. 63)
Unique sites:
Tm: 0.0000 0.0339 0.2500 (multiplicity 4)  4 H 2.58
Ge: 0.0000 0.2421 0.7500 (multiplicity 4)  6 Rh 2.51-2.55
H: 0.0000 0.5000 0.0000 (multiplicity 4)  2 Rh 1.70
Rh: 0.0000 0.3515 0.0520 (multiplicity 8)  1 H 1.70

Spin magnetization, Bohr magnetons per cell: 0.0
Electronic total energy, eV per atom: -6.18

# 7
First-principles (PBE) data for crystalline UGeHRh2 at its relaxed geometry, as listed in Alexandria via LeMat-Bulk.

a = 4.0564 Å, b = 10.9347 Å, c = 6.7863 Å
α = 90.00°, β = 90.00°, γ = 90.00°
With the nearest neighbours (Å) after each atom.
Space group Cmcm (No. 63)
Unique sites:
U: 0.0000 0.0843 0.2500 (multiplicity 4)  4 H 2.80, 4 Rh 2.92, 1 Ge 3.04
Ge: 0.0000 0.1939 0.7500 (multiplicity 4)  6 Rh 2.53
H: 0.0000 0.5000 0.0000 (multiplicity 4)  2 Rh 1.74
Rh: 0.0000 0.3426 0.0360 (multiplicity 8)  1 H 1.74

Spin magnetization, Bohr magnetons per cell: 7.1
Electronic total energy, eV per atom: -7.26

# 8
First-principles (PBE) data for crystalline V2GeHRh at its relaxed geometry, as listed in Alexandria via LeMat-Bulk.

a = 3.7462 Å, b = 3.7462 Å, c = 4.0764 Å
α = 90.00°, β = 90.00°, γ = 90.00°
With the nearest neighbours (Å) after each atom.
Space group P4/mmm (No. 123)
Unique sites:
V: 0.0000 0.5000 0.0000 (multiplicity 2)  2 H 1.87
Ge: 0.0000 0.0000 0.5000 (multiplicity 1)  4 Rh 2.65, 8 V 2.77
H: 0.5000 0.5000 0.0000 (multiplicity 1)  4 V 1.87, 2 Rh 2.04
Rh: 0.5000 0.5000 0.5000 (multiplicity 1)  2 H 2.04

Spin magnetization, Bohr magnetons per cell: 0.0
Electronic total energy, eV per atom: -7.00